Entry from Alexandria: a relaxed structure of K3Ce3TlSe8 (PBE).

Results
**Uncorrected energy**: -217.4 eV/cell
**Magnetic moment**: 0.07 μB/atom
**Mass density**: 4.62 Mg/m³
**Crystal system**: trigonal

Lattice parameters (Å, degrees): 8.6448 8.6448 22.8983 90.00 90.00 120.00
Space group R-3m (No. 166, hexagonal axes)
One atom of each set of equivalent atoms:
K 0.0000 0.5000 0.0000 [9 per cell]
Ce 0.0000 0.5000 0.5000 [9 per cell]
Tl 0.0000 0.0000 0.5000 [3 per cell]
Se 0.0000 0.0000 0.2362 [6 per cell]
Se 0.0219 0.5109 0.7648 [18 per cell]